This record from Alexandria via LeMat-Bulk describes a crystal of Cu2HgBr relaxed with PBEsol. The functional is SCAN.

Its energy above the most stable polymorph in this dataset is 0.336 eV/atom. The calculation puts the total energy at -116.5 eV/f.u.

It has space group P4/mmm (No. 123), with a = 4.578 Å, b = 4.578 Å, c = 3.247 Å, α = 90.00°, β = 90.00° and γ = 90.00°. The inequivalent atoms are Cu at (0.000, 0.500, 0.000), Hg at (0.000, 0.000, 0.500) and Br at (0.500, 0.500, 0.500).

=====

This record from Alexandria via LeMat-Bulk describes a crystal of CrHg5 relaxed with PBEsol. The functional is SCAN.

Its energy of formation is 0.11 eV/atom. The calculation puts the total energy at -358.6 eV/f.u.

It has space group Cm (No. 8), with a = 10.709 Å, b = 3.227 Å, c = 7.634 Å, α = 90.00°, β = 99.82° and γ = 90.00°. The inequivalent atoms are Cr at (0.000, 0.000, 0.000), Hg at (0.060, 0.000, 0.641), Hg at (0.218, 0.500, 0.030), Hg at (0.243, 0.500, 0.423), Hg at (0.341, 0.000, 0.759) and Hg at (0.457, 0.000, 0.287).

=====

This record from Alexandria via LeMat-Bulk describes a crystal of ZnFe3 relaxed with PBEsol. The functional is SCAN.

Its energy of formation is -0.03 eV/atom. The calculation puts the total energy at -68.0 eV/f.u.

It has space group P2/m (No. 10), with a = 2.438 Å, b = 3.974 Å, c = 4.786 Å, α = 90.00°, β = 101.08° and γ = 90.00°. The inequivalent atoms are Zn at (0.000, 0.000, 0.000), Fe at (0.256, 0.500, 0.740) and Fe at (0.500, 0.000, 0.500).

=====

This record from Alexandria via LeMat-Bulk describes a crystal of InSiMo2 relaxed with PBEsol. The functional is SCAN.

Its energy above the most stable polymorph in this dataset is 0.288 eV/atom. The calculation puts the total energy at -111.8 eV/f.u.

It has space group Cmm2 (No. 35), with a = 3.350 Å, b = 4.458 Å, c = 8.945 Å, α = 90.00°, β = 90.00° and γ = 90.00°. The inequivalent atoms are In at (0.000, 0.000, 0.000), Si at (0.000, 0.500, 0.290), Mo at (0.000, 0.000, 0.502) and Mo at (0.000, 0.500, 0.737).